(1)
# SnGeAs3 GGA-PBE relaxed
# * polymorph energy (0 for the lowest one): 905 meV/atom
# * ρ: 4.86 Mg/m³
# * size of the total moment: 0.00 Bohr magnetons per cell
data_SnGeAs3
_symmetry_space_group_name_H-M 'P 1'
_symmetry_Int_Tables_number 1
_cell_length_a 5.219
_cell_length_b 5.219
_cell_length_c 5.219
_cell_angle_alpha 90.00
_cell_angle_beta 90.00
_cell_angle_gamma 90.00
loop_
_symmetry_equiv_pos_as_xyz
'x,y,z'
loop_
_atom_site_label
_atom_site_type_symbol
_atom_site_fract_x
_atom_site_fract_y
_atom_site_fract_z
Sn1 Sn 0.000 0.000 0.000
Ge1 Ge 0.500 0.500 0.500
As1 As 0.000 0.000 0.500
As2 As 0.000 0.500 0.000
As3 As 0.500 0.000 0.000

***

(2)
# SnGe2As GGA-PBE relaxed
# * polymorph energy (0 for the lowest one): 0 meV/atom
# * ρ: 4.93 Mg/m³
# * size of the total moment: 0.00 Bohr magnetons per cell
data_SnGe2As
_symmetry_space_group_name_H-M 'P 1'
_symmetry_Int_Tables_number 1
_cell_length_a 7.542
_cell_length_b 7.542
_cell_length_c 7.542
_cell_angle_alpha 132.59
_cell_angle_beta 132.59
_cell_angle_gamma 69.30
loop_
_symmetry_equiv_pos_as_xyz
'x,y,z'
loop_
_atom_site_label
_atom_site_type_symbol
_atom_site_fract_x
_atom_site_fract_y
_atom_site_fract_z
Sn1 Sn 0.000 0.000 0.000
Sn2 Sn 0.750 0.250 0.500
Ge1 Ge 0.144 0.625 0.019
Ge2 Ge 0.375 0.394 0.519
Ge3 Ge 0.606 0.125 0.981
Ge4 Ge 0.875 0.856 0.481
As1 As 0.250 0.750 0.500
As2 As 0.500 0.500 0.000